Entry from the Alexandria database: crystalline CeTh4Pt5 at its relaxed geometry (PBE).

abc: 9.374 9.374 5.933
angles: 90.00 90.00 90.00
Space group I4/m (No. 87)
Asymmetric unit:
Ce 0.000 0.000 0.000
Th 0.099 0.700 0.500
Pt 0.000 0.000 0.500
Pt 0.100 0.699 0.000

## Properties
energy of formation: -1.163 eV per atom
magnetization: 0.9 μB/f.u.
DFT total energy: -154.89 eV/cell


Entry from the Alexandria database: crystalline MnTcHg4 at its relaxed geometry (PBE).

abc: 7.998 7.998 7.998
angles: 90.00 90.00 90.00
Space group F-43m (No. 216)
Asymmetric unit:
Mn 0.000 0.000 0.000
Tc 0.250 0.250 0.750
Hg 0.125 0.125 0.375

## Properties
energy of formation: 0.887 eV per atom
magnetization: 6.6 μB/f.u.
DFT total energy: -61.69 eV/cell


Entry from the Alexandria database: crystalline YPuUO6 at its relaxed geometry (PBE).

abc: 5.8001 5.8001 9.4144
angles: 90.00 90.00 120.00
Space group P-31c (No. 163)
Asymmetric unit:
Y 0.3333 0.6667 0.2500
Pu 0.0000 0.0000 0.0000
U 0.3333 0.6667 0.7500
O 0.0211 0.3517 0.6329

## Properties
ΔE_f (raw): -307 kJ per mole of atoms
magnetization: 5.0 μB/f.u.
DFT total energy: -181.01 eV/cell


Entry from the Alexandria database: crystalline Tl2TeBr at its relaxed geometry (PBE).

abc: 7.971 7.971 7.971
angles: 90.00 90.00 90.00
Space group F-43m (No. 216)
Asymmetric unit:
Tl 0.000 0.000 0.000
Tl 0.250 0.250 0.250
Te 0.000 0.000 0.500
Br 0.250 0.250 0.750

## Properties
ΔE_f (raw): -19 kJ per mole of atoms
energy above the lowest structure with this stoichiometry: 110.0 kJ/mol of formula units
magnetization: 0.0 μB/f.u.
DFT total energy: -41.35 eV/cell


Entry from the Alexandria database: crystalline Li2CuNiN at its relaxed geometry (PBE).

abc: 3.929 3.929 3.571
angles: 90.00 90.00 90.00
Space group P4/mmm (No. 123)
Asymmetric unit:
Li 0.000 0.500 0.000
Cu 0.000 0.000 0.500
Ni 0.500 0.500 0.500
N 0.500 0.500 0.000

## Properties
ΔE_f (raw): -10 kJ per mole of atoms
magnetization: 0.0 μB/f.u.
DFT total energy: -22.57 eV/cell


Entry from the Alexandria database: crystalline Li8TlZn2 at its relaxed geometry (PBE).

abc: 7.612 12.328 4.761
angles: 90.00 112.30 90.00
Space group C2/m (No. 12)
Asymmetric unit:
Li 0.000 0.228 0.000
Li 0.106 0.500 0.816
Li 0.198 0.118 0.613
Tl 0.000 0.000 0.000
Zn 0.000 0.316 0.500

## Properties
energy above the lowest structure with this stoichiometry: 79.0 kJ/mol of formula units
energy of formation: -0.076 eV per atom
magnetization: 0.0 μB/f.u.
DFT total energy: -42.12 eV/cell


Entry from the Alexandria database: crystalline PmZn2F6 at its relaxed geometry (PBE).

abc: 10.589 3.986 7.363
angles: 90.00 119.92 90.00
Space group C2/m (No. 12)
Asymmetric unit:
Pm 0.000 0.000 0.000
Zn 0.179 0.000 0.611
F 0.021 0.000 0.698
F 0.134 0.500 0.047
F 0.248 0.000 0.321

## Properties
ΔE_f (raw): -267 kJ per mole of atoms
magnetization: 0.0 μB/f.u.
DFT total energy: -86.95 eV/cell


Entry from the Alexandria database: crystalline Ag2Pd7Pt2 at its relaxed geometry (PBE).

abc: 7.031 8.492 6.381
angles: 90.00 105.87 90.00
Space group C2/m (No. 12)
Asymmetric unit:
Ag 0.095 0.000 0.332
Pd 0.000 0.500 0.500
Pd 0.179 0.228 0.673
Pd 0.200 0.500 0.983
Pt 0.000 0.230 0.000

## Properties
energy above the lowest structure with this stoichiometry: 0.0 kJ/mol of formula units
energy of formation: 0.151 eV per atom
magnetization: 0.0 μB/f.u.
DFT total energy: -104.95 eV/cell


Entry from the Alexandria database: crystalline Nd2PuZn6 at its relaxed geometry (PBE).

abc: 8.0286 8.0286 3.3915
angles: 90.00 90.00 120.00
Space group P6/mmm (No. 191)
Asymmetric unit:
Nd 0.3333 0.6667 0.0000
Pu 0.0000 0.0000 0.0000
Zn 0.0000 0.3310 0.5000

## Properties
energy of formation: -0.266 eV per atom
magnetization: 6.0 μB/f.u.
DFT total energy: -33.91 eV/cell


Entry from the Alexandria database: crystalline Sb at its relaxed geometry (PBE).

abc: 6.575 4.799 4.355
angles: 90.00 109.12 90.00
Space group P2_1/c (No. 14)
Asymmetric unit:
Sb 0.231 0.045 0.114

## Properties
ΔE_f (raw): 5 kJ per mole of atoms
energy above the lowest structure with this stoichiometry: 4.9 kJ/mol of formula units
magnetization: 0.0 μB/f.u.
DFT total energy: -16.29 eV/cell


Entry from the Alexandria database: crystalline Pm3Er4Th at its relaxed geometry (PBE).

abc: 6.195 3.581 11.726
angles: 90.00 100.25 90.00
Space group P2/m (No. 10)
Asymmetric unit:
Pm 0.000 0.000 0.000
Pm 0.000 0.500 0.500
Pm 0.500 0.000 0.500
Er 0.254 0.500 0.249
Er 0.256 0.000 0.754
Th 0.500 0.500 0.000

## Properties
energy above the lowest structure with this stoichiometry: 0.0 kJ/mol of formula units
energy of formation: 0.023 eV per atom
magnetization: 0.0 μB/f.u.
DFT total energy: -39.74 eV/cell


Entry from the Alexandria database: crystalline ZrNbOsRh at its relaxed geometry (PBE).

abc: 6.493 6.493 6.493
angles: 90.00 90.00 90.00
Space group F-43m (No. 216)
Asymmetric unit:
Zr 0.000 0.000 0.000
Nb 0.000 0.000 0.500
Os 0.250 0.250 0.750
Rh 0.250 0.250 0.250

## Properties
energy of formation: -0.391 eV per atom
magnetization: 0.0 μB/f.u.
DFT total energy: -155.06 eV/cell


Entry from the Alexandria database: crystalline RbBa2Sn8 at its relaxed geometry (PBE).

abc: 8.253 17.717 6.711
angles: 90.00 127.39 90.00
Space group C2/m (No. 12)
Asymmetric unit:
Rb 0.000 0.000 0.000
Ba 0.000 0.338 0.500
Sn 0.000 0.233 0.000
Sn 0.148 0.500 0.272
Sn 0.181 0.144 0.770

## Properties
energy of formation: -0.292 eV per atom
magnetization: 0.0 μB/f.u.
DFT total energy: -80.10 eV/cell


Entry from the Alexandria database: crystalline Th2ZnBPt6 at its relaxed geometry (PBE).

abc: 5.689 8.765 7.482
angles: 90.00 90.00 90.00
Space group Pmmn (No. 59, origin choice 2)
Asymmetric unit:
Th 0.250 0.032 0.213
Zn 0.250 0.750 0.825
B 0.250 0.250 0.684
Pt 0.006 0.750 0.524
Pt 0.009 0.250 0.901
Pt 0.250 0.007 0.647

## Properties
energy of formation: -0.889 eV per atom
magnetization: 0.0 μB/f.u.
DFT total energy: -135.85 eV/cell


Entry from the Alexandria database: crystalline Pr4ZnRu at its relaxed geometry (PBE).

abc: 8.945 13.841 6.325
angles: 90.00 117.03 90.00
Space group C2/c (No. 15)
Asymmetric unit:
Pr 0.118 0.182 0.080
Pr 0.217 0.431 0.323
Zn 0.000 0.375 0.750
Ru 0.000 0.002 0.250

## Properties
energy above the lowest structure with this stoichiometry: 19.3 kJ/mol of formula units
energy of formation: -0.167 eV per atom
magnetization: 0.0 μB/f.u.
DFT total energy: -122.69 eV/cell


Entry from the Alexandria database: crystalline YErAu4 at its relaxed geometry (PBE).

abc: 3.731 5.245 7.446
angles: 69.65 75.54 69.26
Space group P-1 (No. 2)
Asymmetric unit:
Y 0.000 0.000 0.000
Er 0.000 0.500 0.500
Au 0.335 0.995 0.335
Au 0.336 0.500 0.828

## Properties
energy of formation: -0.868 eV per atom
magnetization: 0.0 μB/f.u.
DFT total energy: -29.34 eV/cell


Entry from the Alexandria database: crystalline Y5GeRh2 at its relaxed geometry (PBE).

abc: 7.652 7.652 13.292
angles: 90.00 90.00 90.00
Space group I4/mcm (No. 140)
Asymmetric unit:
Y 0.000 0.000 0.000
Y 0.161 0.339 0.142
Ge 0.000 0.000 0.250
Rh 0.136 0.364 0.500

## Properties
energy of formation: -0.705 eV per atom
magnetization: 0.0 μB/f.u.
DFT total energy: -229.12 eV/cell


Entry from the Alexandria database: crystalline CdSbO at its relaxed geometry (PBE).

abc: 4.712 5.121 5.777
angles: 105.92 92.05 102.74
Space group P1 (No. 1)
Asymmetric unit:
Cd 0.000 0.000 0.000
Cd 0.004 0.332 0.588
Sb 0.457 0.805 0.522
Sb 0.575 0.361 0.111
O 0.252 0.029 0.366
O 0.752 0.563 0.870

## Properties
ΔE_f (raw): -48 kJ per mole of atoms
energy above the lowest structure with this stoichiometry: 40.8 kJ/mol of formula units
magnetization: 0.0 μB/f.u.
DFT total energy: -23.01 eV/cell


Entry from the Alexandria database: crystalline CaMgBr4 at its relaxed geometry (PBE).

abc: 15.528 4.071 7.124
angles: 90.00 117.10 90.00
Space group C2/m (No. 12)
Asymmetric unit:
Ca 0.000 0.000 0.000
Mg 0.000 0.500 0.500
Br 0.109 0.000 0.759
Br 0.112 0.500 0.301

## Properties
ΔE_f (raw): -169 kJ per mole of atoms
energy above the lowest structure with this stoichiometry: 0.0 kJ/mol of formula units
magnetization: 0.0 μB/f.u.
DFT total energy: -41.54 eV/cell


Entry from the Alexandria database: crystalline La9SmY2 at its relaxed geometry (PBE).

abc: 5.220 5.220 15.663
angles: 90.00 90.00 90.00
Space group P4/mmm (No. 123)
Asymmetric unit:
La 0.000 0.000 0.000
La 0.000 0.000 0.333
La 0.000 0.500 0.167
La 0.000 0.500 0.500
Sm 0.500 0.500 0.000
Y 0.500 0.500 0.334

## Properties
energy of formation: 0.007 eV per atom
magnetization: 0.0 μB/f.u.
DFT total energy: -61.92 eV/cell